The following is a PBE calculation of a relaxed TcTePt2 crystal, from Alexandria via LeMat-Bulk. Values from VASP.

volume: 70 Å³ per cell
raw formation energy: 0.209 eV/atom

Geometry as Quantum ESPRESSO input:
```
&SYSTEM
  ibrav = 0, nat = 4, ntyp = 3
/
ATOMIC_SPECIES
Tc 98.00 Tc.upf
Te 127.60 Te.upf
Pt 195.08 Pt.upf
CELL_PARAMETERS angstrom
2.676 -3.659 0.000
2.676 3.659 0.000
0.000 0.000 3.583
ATOMIC_POSITIONS angstrom
Tc 0.000 0.000 0.000
Te 2.676 0.000 0.000
Pt 1.338 1.830 1.792
Pt 1.338 -1.830 1.792
```

The following is a PBE calculation of a relaxed TcTe4Pt crystal, from Alexandria via LeMat-Bulk. Values from VASP.

volume: 156 Å³ per cell
raw formation energy: -0.176 eV/atom

Geometry as Quantum ESPRESSO input:
```
&SYSTEM
  ibrav = 0, nat = 6, ntyp = 3
/
ATOMIC_SPECIES
Tc 98.00 Tc.upf
Te 127.60 Te.upf
Pt 195.08 Pt.upf
CELL_PARAMETERS angstrom
6.634 -1.936 0.000
6.634 1.936 0.000
-3.599 0.000 6.070
ATOMIC_POSITIONS angstrom
Tc 0.000 0.000 0.000
Te -1.208 0.000 4.838
Te 2.386 0.000 4.289
Te 7.282 0.000 1.781
Te 10.876 0.000 1.232
Pt 4.834 0.000 3.035
```

| no. | total moment (Bohr magnetons per cell) |
| --- | --- |
| 1 | 1.06 |
| 2 | 1.01 |